{"formula": "Pm2PaAlNi6", "functional": "PBE-GGA", "state": "relaxed", "total_magnetization_mub_per_fu": 0.0, "total_energy_ev_per_cell": -60.47, "e_form_ev_per_atom": -0.304, "lattice": [[-4.478, 0.188, -4.554], [2.760, -5.630, -1.899], [-1.983, -6.241, -0.120]], "species": ["Pm", "Pm", "Ni", "Ni", "Ni", "Ni", "Ni", "Ni", "Al", "Pa"], "fractional_positions": [[0.284, 0.727, 0.443], [0.716, 0.273, 0.557], [0.917, 0.751, 0.833], [0.228, 0.737, 0.994], [0.083, 0.249, 0.167], [0.228, 0.222, 0.509], [0.772, 0.778, 0.491], [0.772, 0.263, 0.006], [0.000, 0.000, 0.000], [0.500, 0.500, 0.000]]}


{"formula": "ScSnPdW2", "functional": "PBE-GGA", "state": "relaxed", "total_magnetization_mub_per_fu": 0.0, "total_energy_ev_per_cell": -34.18, "e_form_ev_per_atom": 1.451, "lattice": [[4.852, 0.000, 0.000], [0.000, 4.850, 0.000], [0.000, 0.000, 4.852]], "species": ["Sc", "W", "W", "Pd", "Sn"], "fractional_positions": [[0.500, 0.500, 0.500], [0.000, 0.000, 0.500], [0.500, 0.000, 0.000], [0.000, 0.000, 0.000], [0.000, 0.500, 0.000]]}


{"formula": "LaBiPb3", "functional": "PBE-GGA", "state": "relaxed", "total_magnetization_mub_per_fu": 0.0, "total_energy_ev_per_cell": -17.75, "polymorph_energy_ev_per_fu": 0.00, "e_form_ev_per_atom": 0.436, "lattice": [[-5.495, -0.329, 2.154], [2.008, -3.034, 4.659], [0.846, 5.062, 2.932]], "species": ["Bi", "Pb", "Pb", "Pb", "La"], "fractional_positions": [[0.000, 0.000, 0.000], [0.500, 0.000, 0.000], [0.000, 0.500, 0.000], [0.000, 0.000, 0.500], [0.500, 0.500, 0.500]]}


{"formula": "Na2UTlCl8", "functional": "PBE-GGA", "state": "relaxed", "total_magnetization_mub_per_fu": 1.0, "e_form_raw_mev_per_atom": -1548.0, "total_energy_ev_per_cell": -49.64, "lattice": [[-2.858, 5.229, 3.213], [-3.456, -3.870, 4.063], [6.207, 0.346, 7.089]], "species": ["Cl", "Cl", "Cl", "Cl", "Cl", "Cl", "Cl", "Cl", "Na", "Na", "U", "Tl"], "fractional_positions": [[0.721, 0.754, 0.029], [0.172, 0.783, 0.193], [0.815, 0.202, 0.194], [0.316, 0.308, 0.472], [0.279, 0.246, 0.971], [0.828, 0.217, 0.807], [0.684, 0.692, 0.528], [0.185, 0.798, 0.806], [0.548, 0.559, 0.304], [0.452, 0.441, 0.696], [0.000, 0.000, 0.000], [0.000, 0.000, 0.500]]}